Record 1
A relaxed structure of Cs2SmAuCl6, computed with PBE.

```
data_Cs2SmAuCl6
_symmetry_space_group_name_H-M 'F m -3 m'
_symmetry_Int_Tables_number 225
_symmetry_space_group_name_Hall '-F 4 2 3'
_cell_length_a 10.9610
_cell_length_b 10.9610
_cell_length_c 10.9610
_cell_angle_alpha 90.00
_cell_angle_beta 90.00
_cell_angle_gamma 90.00
loop_
_atom_site_label
_atom_site_type_symbol
_atom_site_fract_x
_atom_site_fract_y
_atom_site_fract_z
_atom_site_occupancy
Cs1 Cs 0.2500 0.2500 0.2500 1
Sm1 Sm 0.0000 0.0000 0.0000 1
Au1 Au 0.0000 0.0000 0.5000 1
Cl1 Cl 0.0000 0.0000 0.2465 1
```

energy relative to the elements, uncorrected = -1.7070 eV/atom

***

Record 2
A relaxed structure of K3LiIn6, computed with PBE.

```
data_K3LiIn6
_symmetry_space_group_name_H-M 'I 4/m m m'
_symmetry_Int_Tables_number 139
_symmetry_space_group_name_Hall '-I 4 2'
_cell_length_a 7.5819
_cell_length_b 7.5819
_cell_length_c 13.5814
_cell_angle_alpha 90.00
_cell_angle_beta 90.00
_cell_angle_gamma 90.00
loop_
_atom_site_label
_atom_site_type_symbol
_atom_site_fract_x
_atom_site_fract_y
_atom_site_fract_z
_atom_site_occupancy
K1 K 0.0000 0.0000 0.0000 1
K2 K 0.0000 0.5000 0.2500 1
Li1 Li 0.0000 0.0000 0.5000 1
In1 In 0.0000 0.0000 0.3061 1
In2 In 0.0000 0.3130 0.5000 1
```

DFT formation energy = 0.084 eV per atom

***

Record 3
A relaxed structure of LiNpHgGe, computed with PBE.

```
data_LiNpHgGe
_symmetry_space_group_name_H-M 'F -4 3 m'
_symmetry_Int_Tables_number 216
_symmetry_space_group_name_Hall 'F -4 2 3'
_cell_length_a 7.0246
_cell_length_b 7.0246
_cell_length_c 7.0246
_cell_angle_alpha 90.00
_cell_angle_beta 90.00
_cell_angle_gamma 90.00
loop_
_atom_site_label
_atom_site_type_symbol
_atom_site_fract_x
_atom_site_fract_y
_atom_site_fract_z
_atom_site_occupancy
Li1 Li 0.0000 0.0000 0.0000 1
Np1 Np 0.0000 0.0000 0.5000 1
Hg1 Hg 0.2500 0.2500 0.2500 1
Ge1 Ge 0.2500 0.2500 0.7500 1
```

DFT formation energy = -0.072 eV per atom

***

Record 4
A relaxed structure of Zr3PdS6, computed with PBE.

```
data_Zr3PdS6
_symmetry_space_group_name_H-M 'C m c 21'
_symmetry_Int_Tables_number 36
_symmetry_space_group_name_Hall 'C 2c -2'
_cell_length_a 10.2075
_cell_length_b 12.3598
_cell_length_c 6.2223
_cell_angle_alpha 90.00
_cell_angle_beta 90.00
_cell_angle_gamma 90.00
loop_
_atom_site_label
_atom_site_type_symbol
_atom_site_fract_x
_atom_site_fract_y
_atom_site_fract_z
_atom_site_occupancy
Zr1 Zr 0.0000 0.1067 0.0000 1
Zr2 Zr 0.1758 0.3972 0.8829 1
Pd1 Pd 0.0000 0.2800 0.3219 1
S1 S 0.0000 0.2718 0.7196 1
S2 S 0.0000 0.4690 0.1897 1
S3 S 0.1633 0.0343 0.6937 1
S4 S 0.1901 0.2234 0.1301 1
```

energy relative to the elements, uncorrected = -1.2928 eV/atom

***

Record 5
A relaxed structure of Sc2MnHg, computed with PBE.

```
data_Sc2MnHg
_symmetry_space_group_name_H-M 'R 3 m'
_symmetry_Int_Tables_number 160
_symmetry_space_group_name_Hall 'R 3 -2"'
_cell_length_a 3.2149
_cell_length_b 3.2149
_cell_length_c 28.5562
_cell_angle_alpha 90.00
_cell_angle_beta 90.00
_cell_angle_gamma 120.00
loop_
_atom_site_label
_atom_site_type_symbol
_atom_site_fract_x
_atom_site_fract_y
_atom_site_fract_z
_atom_site_occupancy
Sc1 Sc 0.0000 0.0000 0.0000 1
Sc2 Sc 0.0000 0.0000 0.2393 1
Mn1 Mn 0.0000 0.0000 0.4959 1
Hg1 Hg 0.0000 0.0000 0.7523 1
```

DFT formation energy = 0.132 eV per atom

***

Record 6
A relaxed structure of PmAsH2, computed with PBE.

```
data_PmAsH2
_symmetry_space_group_name_H-M 'F m -3 m'
_symmetry_Int_Tables_number 225
_symmetry_space_group_name_Hall '-F 4 2 3'
_cell_length_a 6.0026
_cell_length_b 6.0026
_cell_length_c 6.0026
_cell_angle_alpha 90.00
_cell_angle_beta 90.00
_cell_angle_gamma 90.00
loop_
_atom_site_label
_atom_site_type_symbol
_atom_site_fract_x
_atom_site_fract_y
_atom_site_fract_z
_atom_site_occupancy
Pm1 Pm 0.0000 0.0000 0.0000 1
As1 As 0.0000 0.0000 0.5000 1
H1 H 0.2500 0.2500 0.2500 1
```

excess energy over the best structure of this formula in the dataset = 0.000 eV/f.u.

***

Record 7
A relaxed structure of AlAs2Br, computed with PBE.

```
data_AlAs2Br
_symmetry_space_group_name_H-M 'I -4 2 d'
_symmetry_Int_Tables_number 122
_symmetry_space_group_name_Hall 'I -4 2bw'
_cell_length_a 5.4948
_cell_length_b 5.4948
_cell_length_c 14.7690
_cell_angle_alpha 90.00
_cell_angle_beta 90.00
_cell_angle_gamma 90.00
loop_
_atom_site_label
_atom_site_type_symbol
_atom_site_fract_x
_atom_site_fract_y
_atom_site_fract_z
_atom_site_occupancy
Al1 Al 0.0000 0.0000 0.0000 1
As1 As 0.1623 0.2500 0.1250 1
Br1 Br 0.0000 0.0000 0.5000 1
```

energy relative to the elements, uncorrected = 0.2882 eV/atom
excess energy over the best structure of this formula in the dataset = 2.046 eV/f.u.

***

Record 8
A relaxed structure of CoHg2Cl, computed with PBE.

```
data_CoHg2Cl
_symmetry_space_group_name_H-M 'C m m m'
_symmetry_Int_Tables_number 65
_symmetry_space_group_name_Hall '-C 2 2'
_cell_length_a 3.4688
_cell_length_b 5.8008
_cell_length_c 8.4708
_cell_angle_alpha 90.00
_cell_angle_beta 90.00
_cell_angle_gamma 90.00
loop_
_atom_site_label
_atom_site_type_symbol
_atom_site_fract_x
_atom_site_fract_y
_atom_site_fract_z
_atom_site_occupancy
Co1 Co 0.0000 0.0000 0.0000 1
Hg1 Hg 0.0000 0.5000 0.2337 1
Cl1 Cl 0.0000 0.0000 0.5000 1
```

energy relative to the elements, uncorrected = 0.2608 eV/atom
excess energy over the best structure of this formula in the dataset = 1.119 eV/f.u.

***

Number 1: ρ 4.17 g/cm³, raw total energy -3.785 eV per atom. Number 2: ρ 3.46 g/cm³, raw total energy -2.080 eV per atom. Number 3: ρ 9.91 g/cm³, raw total energy -5.016 eV per atom. Number 4: ρ 4.84 g/cm³, raw total energy -6.853 eV per atom. Number 5: ρ 6.73 g/cm³, raw total energy -5.402 eV per atom. Number 6: ρ 6.82 g/cm³, raw total energy -4.321 eV per atom. Number 7: ρ 3.82 g/cm³, raw total energy -3.390 eV per atom. Number 8: ρ 9.66 g/cm³, raw total energy -2.128 eV per atom.